1.
Computed, not measured: Sc3Ag2 after structural relaxation at the PBE level of DFT.

```
Sc3Ag2
1.0
2.3777 -4.1183 0.0000
2.3777 4.1183 0.0000
0.0000 0.0000 5.8334
Sc Ag
3 2
Direct
0.6667 0.3333 0.6518
0.3333 0.6667 0.3482
0.0000 0.0000 0.0000
0.6667 0.3333 0.1538
0.3333 0.6667 0.8462
```

Values from the calculation:
Energy of formation ... -48 meV/atom
SG ... No. 164
Energy above the lowest structure with this stoichiometry ... 156 meV/atom
DOS(E_F) ... 1.29 states/eV per atom

---

2.
Computed, not measured: GaTe2SeN after structural relaxation at the PBE level of DFT.

```
GaTe2SeN
1.0
-1.0267 -5.0568 -2.2407
5.4258 -0.4785 -1.4063
0.6844 -1.5415 3.1651
Te Ga Se N
2 1 1 1
Direct
0.5000 0.0000 0.0000
0.0000 0.5000 0.0000
0.0000 0.0000 0.0000
0.5000 0.5000 0.5000
0.0000 0.0000 0.5000
```

Values from the calculation:
SG ... No. 123
Energy above the lowest structure with this stoichiometry ... 0 meV/atom
DOS(E_F) ... 0.93 states/eV per atom

---

3.
Computed, not measured: Sr2AlCr after structural relaxation at the PBE level of DFT.

```
Sr2AlCr
1.0
-1.0093 -2.8141 3.6165
-0.4417 -3.7769 -3.0621
5.5245 -3.1002 -0.8705
Al Sr Cr
1 2 1
Direct
0.0000 0.6789 0.5173
0.0000 0.9795 0.9160
0.5000 0.2677 0.3399
0.5000 0.5740 0.7269
```

Values from the calculation:
Energy of formation ... 254 meV/atom
SG ... No. 38
DOS(E_F) ... 0.99 states/eV per atom

---

4.
Computed, not measured: CaEu2Pb after structural relaxation at the PBE level of DFT.

```
CaEu2Pb
1.0
-3.5260 1.1476 2.1213
-1.8449 -3.7035 -1.0630
2.9223 -3.3737 6.6824
Eu Ca Pb
2 1 1
Direct
0.0000 0.0000 0.2130
0.0000 0.0000 0.7870
0.5000 0.5000 0.5000
0.5000 0.5000 0.0000
```

Values from the calculation:
Energy of formation ... -255 meV/atom
SG ... No. 123
Energy above the lowest structure with this stoichiometry ... 91 meV/atom
DOS(E_F) ... 1.04 states/eV per atom

---

5.
Computed, not measured: DyUPb2O6 after structural relaxation at the PBE level of DFT.

```
DyUPb2O6
1.0
6.0223 0.0000 -0.0133
0.0000 6.1375 0.0000
0.0336 0.0000 8.6077
O U Pb Dy
12 2 4 2
Direct
0.6908 0.2920 0.5491
0.2058 0.1932 0.4545
0.4062 0.9757 0.7431
0.8092 0.7920 0.9509
0.0938 0.4757 0.7569
0.2942 0.6932 0.0455
0.7058 0.3068 0.9545
0.7942 0.8068 0.5455
0.5938 0.0243 0.2569
0.9062 0.5243 0.2431
0.1908 0.2080 0.0491
0.3092 0.7080 0.4509
0.5000 0.0000 0.5000
0.0000 0.5000 0.0000
0.0061 0.9719 0.2511
0.9939 0.0281 0.7489
0.5061 0.5281 0.7511
0.4939 0.4719 0.2489
0.0000 0.5000 0.5000
0.5000 0.0000 0.0000
```

Values from the calculation:
SG ... No. 14
Electronic total energy ... -155.92 eV for the cell shown

---

6.
Computed, not measured: TcIr2Rh after structural relaxation at the PBE level of DFT.

```
TcIr2Rh
1.0
4.3810 0.0000 0.0000
2.1905 3.7941 0.0000
2.1905 1.2647 3.5771
Ir Rh Tc
2 1 1
Direct
0.0000 0.0000 0.0000
0.2500 0.2500 0.2500
0.5000 0.5000 0.5000
0.7500 0.7500 0.7500
```

Values from the calculation:
Energy of formation ... 408 meV/atom
SG ... No. 216
Energy above the lowest structure with this stoichiometry ... 538 meV/atom
DOS(E_F) ... 1.59 states/eV per atom

---

7.
Computed, not measured: KTi2Rh after structural relaxation at the PBE level of DFT.

```
KTi2Rh
1.0
-1.0883 -0.8037 -5.1082
2.8283 -4.4626 0.0996
-5.9527 -6.9097 -0.3779
K Rh Ti
2 2 4
Direct
0.2500 0.7500 0.5000
0.5000 0.5000 0.0000
0.7500 0.2500 0.5000
0.0000 0.0000 0.0000
0.8750 0.1253 0.7500
0.3750 0.1247 0.7500
0.8747 0.6250 0.2500
0.8753 0.1250 0.2500
```

Values from the calculation:
Energy of formation ... 868 meV/atom
SG ... No. 141
Energy above the lowest structure with this stoichiometry ... 223 meV/atom
DOS(E_F) ... 1.66 states/eV per atom

---

8.
Computed, not measured: Pr2SmHo3S6 after structural relaxation at the PBE level of DFT.

```
Pr2SmHo3S6
1.0
-3.3158 0.8850 -1.9291
-3.9625 0.4208 7.0041
4.6113 7.6448 -0.4018
Sm S Ho Pr
1 6 3 2
Direct
0.5000 0.0000 0.0000
0.6620 0.5950 0.3239
0.6690 0.0702 0.3380
0.3310 0.9298 0.6620
0.3380 0.4050 0.6761
0.9951 0.2561 0.9903
0.0049 0.7439 0.0097
0.8324 0.1666 0.6648
0.1676 0.8334 0.3352
0.5000 0.5000 0.0000
0.8331 0.6663 0.6663
0.1669 0.3337 0.3337
```

Values from the calculation:
SG ... No. 12
DOS(E_F) ... 0.40 states/eV per atom
Electronic total energy ... -76.82 eV for the cell shown

---

9.
Computed, not measured: Zn2CdTc after structural relaxation at the PBE level of DFT.

```
Zn2CdTc
1.0
4.9001 0.1873 -0.4764
-1.8944 4.5230 -0.4764
0.2476 0.3881 2.7321
Cd Zn Tc
1 2 1
Direct
0.5000 0.0000 0.5000
0.5000 0.5000 0.0000
0.0000 0.0000 0.0000
0.0000 0.5000 0.5000
```

Values from the calculation:
Energy of formation ... 166 meV/atom
SG ... No. 65
DOS(E_F) ... 0.56 states/eV per atom

---

10.
Computed, not measured: NdNi6B3 after structural relaxation at the PBE level of DFT.

```
NdNi6B3
1.0
4.4298 0.0002 -2.3738
-2.8511 4.1387 -0.0001
0.2974 0.2050 5.8753
Nd Ni B
1 6 3
Direct
0.9272 0.9636 0.8908
0.2857 0.3951 0.6714
0.6301 0.5446 0.2523
0.7808 0.3857 0.6714
0.2763 0.8906 0.6714
0.1669 0.6222 0.2523
0.7077 0.0854 0.2523
0.2623 0.1311 0.3934
0.6471 0.3236 0.9707
0.3161 0.6580 0.9741
```

Values from the calculation:
Energy of formation ... -220 meV/atom
SG ... No. 146
DOS(E_F) ... 0.58 states/eV per atom

---

11.
Computed, not measured: Rb2PmHoS4 after structural relaxation at the PBE level of DFT.

```
Rb2PmHoS4
1.0
-2.3591 0.1106 -3.3847
5.1878 -3.2214 -3.7210
-4.6781 -5.7994 3.0710
S Ho Rb Pm
4 1 2 1
Direct
0.0000 0.7385 0.1950
0.5000 0.2240 0.1922
0.0000 0.2615 0.8050
0.5000 0.7760 0.8078
0.0000 0.0000 0.0000
0.5000 0.0000 0.5000
0.0000 0.5000 0.5000
0.5000 0.5000 0.0000
```

Values from the calculation:
SG ... No. 10
DOS(E_F) ... 0.00 states/eV per atom
Electronic total energy ... -42.50 eV for the cell shown